Crystalline Ba2Cd3AgAu4 at its relaxed geometry, computed with PBE-GGA.

Cell lengths 5.029, 5.029, 10.638 Å; angles 90.00, 90.00, 90.00 degrees
Positions (direct):
Cd 0.000 0.500 0.120
Cd 0.500 0.000 0.880
Cd 0.000 0.000 0.500
Au 0.500 0.500 0.000
Au 0.500 0.000 0.623
Au 0.000 0.500 0.377
Au 0.000 0.000 0.000
Ag 0.500 0.500 0.500
Ba 0.000 0.500 0.753
Ba 0.500 0.000 0.247

Results
**ΔH_f (0 K)**: -42.5 kJ per mole of atoms
**M_tot**: 0.000 μB/f.u.
**Calculated total energy**: -2.696 eV per atom

---

Crystalline Ba2CeAgAu6 at its relaxed geometry, computed with PBE-GGA.

Cell lengths 7.706, 7.706, 7.712 Å; angles 60.02, 60.02, 89.99 degrees
Last column: magnetic moment on the atom in μB.
Positions (direct):
Au 0.757 0.757 0.000  0.00
Au 0.757 0.757 0.486  0.00
Au 0.243 0.757 0.000  0.00
Au 0.757 0.243 0.000  0.00
Au 0.243 0.243 0.000  0.00
Au 0.243 0.243 0.514  0.00
Ag 0.000 0.000 0.000  0.02
Ba 0.250 0.750 0.500  0.00
Ba 0.750 0.250 0.500  0.00
Ce 0.500 0.500 0.000  0.69

Results
**ΔH_f (0 K)**: -24.2 kJ per mole of atoms
**M_tot**: 0.933 μB/f.u.
**Calculated total energy**: -3.480 eV per atom

---

Crystalline BaCeAgAu at its relaxed geometry, computed with PBE-GGA.

Cell lengths 5.501, 5.501, 5.501 Å; angles 60.00, 60.00, 60.00 degrees
Last column: magnetic moment on the atom in μB.
Positions (direct):
Au 0.750 0.750 0.750  0.00
Ce 0.000 0.000 0.000  1.01
Ag 0.250 0.250 0.250  0.00
Ba 0.500 0.500 0.500  0.00

Results
**ΔH_f (0 K)**: -25.5 kJ per mole of atoms
**M_tot**: 1.148 μB/f.u.
**Calculated total energy**: -3.761 eV per atom

---

Crystalline BaCuAgAu3 at its relaxed geometry, computed with PBE-GGA.

Cell lengths 6.421, 6.714, 7.443 Å; angles 116.81, 90.00, 90.00 degrees
Positions (direct):
Au 0.000 0.713 0.000
Au 0.500 0.713 0.000
Au 0.000 0.287 0.000
Au 0.750 0.844 0.687
Au 0.250 0.156 0.313
Au 0.500 0.287 0.000
Cu 0.250 0.961 0.922
Cu 0.750 0.039 0.078
Ba 0.750 0.283 0.565
Ba 0.250 0.717 0.435
Ag 0.250 0.361 0.722
Ag 0.750 0.639 0.278

Results
**ΔH_f (0 K)**: -19.5 kJ per mole of atoms
**M_tot**: 0.000 μB/f.u.
**Calculated total energy**: -3.319 eV per atom

---

Crystalline BaAgAuF6 at its relaxed geometry, computed with PBE-GGA.

Cell lengths 5.979, 5.044, 7.199 Å; angles 77.31, 68.69, 54.33 degrees
Positions (direct):
F 0.988 0.336 0.183
F 0.609 0.938 0.384
F 0.038 0.839 0.610
F 0.250 0.222 0.776
F 0.380 0.554 0.223
F 0.605 0.440 0.820
Ag 0.805 0.393 0.503
Au 0.316 0.387 0.499
Ba 0.009 0.891 0.002

Results
**Formation energy without anion corrections**: -1981 meV per atom
**M_tot**: 0.000 μB/f.u.
**Calculated total energy**: -4.123 eV per atom

---

Crystalline BaAg2AuF8 at its relaxed geometry, computed with PBE-GGA.

Cell lengths 5.553, 5.553, 7.313 Å; angles 90.00, 90.00, 120.00 degrees
Last column: magnetic moment on the atom in μB.
Positions (direct):
F 0.170 0.830 0.177  0.13
F 0.170 0.341 0.177  0.13
F 0.667 0.333 0.417  0.10
F 0.830 0.170 0.823  0.13
F 0.333 0.667 0.583  0.10
F 0.659 0.830 0.177  0.13
F 0.830 0.659 0.823  0.13
F 0.341 0.170 0.823  0.13
Ag 0.333 0.667 0.875  0.16
Ag 0.667 0.333 0.125  0.16
Ba 0.000 0.000 0.500  0.00
Au 0.000 0.000 0.000  0.73

Results
**Formation energy without anion corrections**: -1565 meV per atom
**M_tot**: 2.121 μB/f.u.
**Calculated total energy**: -3.722 eV per atom

---

Crystalline Ba2Ga3AgAu12 at its relaxed geometry, computed with PBE-GGA.

Cell lengths 8.457, 8.457, 8.457 Å; angles 64.68, 64.68, 64.68 degrees
Positions (direct):
Ga 0.500 0.000 0.000
Ga 0.000 0.500 0.000
Ga 0.000 0.000 0.500
Au 0.865 0.338 0.338
Au 0.338 0.865 0.338
Au 0.662 0.135 0.662
Au 0.876 0.876 0.367
Au 0.338 0.338 0.865
Au 0.135 0.662 0.662
Au 0.633 0.124 0.124
Au 0.124 0.633 0.124
Au 0.124 0.124 0.633
Au 0.367 0.876 0.876
Au 0.876 0.367 0.876
Au 0.662 0.662 0.135
Ba 0.387 0.387 0.387
Ba 0.613 0.613 0.613
Ag 0.000 0.000 0.000

Results
**ΔH_f (0 K)**: -9.5 kJ per mole of atoms
**M_tot**: 0.000 μB/f.u.
**Calculated total energy**: -3.160 eV per atom

---

Crystalline Ba2Ga4AgAu3 at its relaxed geometry, computed with PBE-GGA.

Cell lengths 4.713, 4.713, 10.656 Å; angles 90.00, 90.00, 90.00 degrees
Positions (direct):
Au 0.000 0.500 0.126
Au 0.500 0.000 0.874
Au 0.000 0.000 0.500
Ba 0.000 0.500 0.753
Ba 0.500 0.000 0.247
Ga 0.500 0.500 0.000
Ga 0.000 0.000 0.000
Ga 0.000 0.500 0.378
Ga 0.500 0.000 0.622
Ag 0.500 0.500 0.500

Results
**ΔH_f (0 K)**: -50.1 kJ per mole of atoms
**M_tot**: 0.000 μB/f.u.
**Calculated total energy**: -3.383 eV per atom

---

Crystalline BaGa2AgAu2 at its relaxed geometry, computed with PBE-GGA.

Cell lengths 4.597, 4.597, 7.628 Å; angles 90.00, 90.00, 120.00 degrees
Positions (direct):
Ag 0.000 0.000 0.500
Au 0.333 0.667 0.687
Au 0.667 0.333 0.313
Ga 0.333 0.667 0.322
Ga 0.667 0.333 0.678
Ba 0.000 0.000 0.000

Results
**ΔH_f (0 K)**: -43.4 kJ per mole of atoms
**M_tot**: 0.000 μB/f.u.
**Calculated total energy**: -3.346 eV per atom

---

Crystalline BaGa2AgAu at its relaxed geometry, computed with PBE-GGA.

Cell lengths 4.727, 4.679, 6.363 Å; angles 111.57, 111.80, 90.00 degrees
Positions (direct):
Ba 0.442 0.442 0.883
Au 0.826 0.826 0.652
Ga 0.695 0.195 0.390
Ga 0.068 0.068 0.137
Ag 0.181 0.681 0.362

Results
**ΔH_f (0 K)**: -42.5 kJ per mole of atoms
**M_tot**: 0.000 μB/f.u.
**Calculated total energy**: -3.262 eV per atom

---

Crystalline BaGa4AgAu2 at its relaxed geometry, computed with PBE-GGA.

Cell lengths 4.458, 4.458, 10.470 Å; angles 77.71, 77.71, 60.00 degrees
Positions (direct):
Ga 0.872 0.872 0.383
Ga 0.405 0.405 0.786
Ga 0.128 0.128 0.617
Ga 0.595 0.595 0.214
Ba 0.000 0.000 0.000
Au 0.236 0.236 0.292
Au 0.764 0.764 0.708
Ag 0.500 0.500 0.500

Results
**ΔH_f (0 K)**: -29.0 kJ per mole of atoms
**M_tot**: 0.000 μB/f.u.
**Calculated total energy**: -3.230 eV per atom

---

Crystalline BaGaAgAu3 at its relaxed geometry, computed with PBE-GGA.

Cell lengths 6.796, 7.277, 7.240 Å; angles 120.17, 90.00, 90.00 degrees
Positions (direct):
Ba 0.250 0.715 0.431
Ba 0.750 0.285 0.569
Au 0.500 0.293 0.000
Au 0.000 0.707 0.000
Au 0.250 0.201 0.402
Au 0.750 0.799 0.598
Au 0.000 0.293 0.000
Au 0.500 0.707 0.000
Ga 0.750 0.599 0.198
Ga 0.250 0.401 0.802
Ag 0.750 0.017 0.035
Ag 0.250 0.983 0.965

Results
**ΔH_f (0 K)**: -32.1 kJ per mole of atoms
**M_tot**: 0.000 μB/f.u.
**Calculated total energy**: -3.271 eV per atom